SmErInPd | PBE | relaxed

## Properties
Energy of formation from the pure elements   -56.2 kJ per mole of atoms
DOS(E_F)   3.50 states/eV/f.u.
VASP energy   -19.541 eV/cell

Cell: 5.1919 5.1919 5.1919 Å, 60.00 60.00 60.00°
Closest atoms and distances in Å follow each position.
Element x y z (fractional)
Sm 0.0000 0.0000 0.0000  4 In 3.18, 4 Pd 3.18
Er 0.5000 0.5000 0.5000  4 In 3.18, 4 Pd 3.18
In 0.7500 0.7500 0.7500  4 Er 3.18, 4 Sm 3.18
Pd 0.2500 0.2500 0.2500  4 Er 3.18, 4 Sm 3.18


SmEr2InPd4 | PBE | relaxed

## Properties
Energy of formation from the pure elements   -79.2 kJ per mole of atoms
DOS(E_F)   5.57 states/eV/f.u.
VASP energy   -43.922 eV/cell

Cell: 8.4921 8.4921 8.4921 Å, 33.44 33.44 33.44°
Closest atoms and distances in Å follow each position.
Element x y z (fractional)
Sm 0.0000 0.0000 0.0000  8 Pd 2.98-3.01
Er 0.2447 0.2447 0.2447  8 Pd 2.90-3.19
Er 0.7553 0.7553 0.7553  8 Pd 2.90-3.19
In 0.5000 0.5000 0.5000  8 Pd 2.94-3.00
Pd 0.1240 0.1240 0.1240  4 Er 2.90-2.95, 1 Sm 2.98, 3 In 3.00
Pd 0.3775 0.3775 0.3775  1 In 2.94, 3 Sm 3.01, 4 Er 3.02-3.19
Pd 0.6225 0.6225 0.6225  1 In 2.94, 3 Sm 3.01, 4 Er 3.02-3.19
Pd 0.8760 0.8760 0.8760  4 Er 2.90-2.95, 1 Sm 2.98, 3 In 3.00